[1]
ZrCrP | PBE | optimized geometry

a = 4.1996 Å, b = 4.1996 Å, c = 4.1996 Å
α = 60.00°, β = 60.00°, γ = 60.00°
Closest atoms and distances in Å follow each position.
Sites, in units of the cell vectors:
Cr 0.5000 0.5000 0.5000  4 P 2.57
P 0.2500 0.2500 0.2500  4 Cr 2.57, 4 Zr 2.57
Zr 0.0000 0.0000 0.0000  4 P 2.57

Output
Formation energy from the elements (meV per atom): -397

***

[2]
ZrCr2P | PBE | optimized geometry

a = 3.9704 Å, b = 3.1865 Å, c = 4.7797 Å
α = 75.45°, β = 90.00°, γ = 90.00°
Closest atoms and distances in Å follow each position.
Sites, in units of the cell vectors:
Cr 0.0000 0.0330 0.0956  2 Cr 2.36, 2 P 2.40-2.54
Cr 0.5000 0.3564 0.2106  2 Cr 2.36, 2 P 2.42, 2 Zr 2.50-2.58
P 0.0000 0.3447 0.5028  4 Cr 2.40-2.54, 2 Zr 2.68
Zr 0.5000 0.7658 0.6910  2 Cr 2.50-2.58, 4 P 2.68-2.71

Output
Formation energy from the elements (meV per atom): -255

***

[3]
ZrCr2P | PBE | optimized geometry

a = 4.5013 Å, b = 4.5013 Å, c = 4.5028 Å
α = 77.29°, β = 77.29°, γ = 40.84°
Closest atoms and distances in Å follow each position.
Sites, in units of the cell vectors:
Cr 0.9805 0.9805 0.0761  2 Cr 2.30, 2 P 2.48
Cr 0.5195 0.5195 0.4239  2 Cr 2.30, 2 P 2.48
P 0.2500 0.2500 0.2500  6 Cr 2.48-2.57, 4 Zr 2.75
Zr 0.7500 0.7500 0.7500  6 Cr 2.70-2.87, 4 P 2.75

Output
Formation energy from the elements (meV per atom): -216

***

[4]
ZrCrP | PBE | optimized geometry

a = 3.4193 Å, b = 3.4193 Å, c = 4.9564 Å
α = 90.00°, β = 90.00°, γ = 120.00°
Closest atoms and distances in Å follow each position.
Sites, in units of the cell vectors:
Cr 0.0000 0.0000 0.0772  3 P 2.25
P 0.6667 0.3333 0.2944  3 Cr 2.25
Zr 0.3333 0.6667 0.6284  3 P 2.58

Output
Formation energy from the elements (meV per atom): -376

***

[5]
ZrCrP | PBE | optimized geometry

a = 5.9702 Å, b = 3.3765 Å, c = 9.3509 Å
α = 90.00°, β = 98.65°, γ = 90.00°
Closest atoms and distances in Å follow each position.
Sites, in units of the cell vectors:
Zr 0.2564 0.0000 0.9403  4 P 2.63-2.92, 4 Cr 2.73-2.86
Zr 0.2564 0.5000 0.4403  4 P 2.63-2.92, 4 Cr 2.73-2.86
Zr 0.5863 0.0000 0.6895  5 P 2.67-2.85, 3 Cr 2.76
Zr 0.5863 0.5000 0.1895  5 P 2.67-2.85, 3 Cr 2.76
Cr 0.0125 0.0000 0.6096  4 P 2.36-2.48, 1 Cr 2.60
Cr 0.0125 0.5000 0.1096  4 P 2.36-2.48, 1 Cr 2.60
Cr 0.9152 0.0000 0.3287  3 P 2.37-2.51, 1 Cr 2.60
Cr 0.9152 0.5000 0.8287  3 P 2.37-2.51, 1 Cr 2.60
P 0.7504 0.0000 0.9822  4 Cr 2.48-2.51, 1 Zr 2.76
P 0.7504 0.5000 0.4822  4 Cr 2.48-2.51, 1 Zr 2.76
P 0.2521 0.0000 0.2237  3 Cr 2.36-2.37, 2 Zr 2.63
P 0.2521 0.5000 0.7237  3 Cr 2.36-2.37, 2 Zr 2.63

Output
Formation energy from the elements (meV per atom): -599

***

[6]
ZrCrP2 | PBE | optimized geometry

a = 4.3739 Å, b = 3.4292 Å, c = 4.8654 Å
α = 69.37°, β = 90.00°, γ = 90.00°
Closest atoms and distances in Å follow each position.
Sites, in units of the cell vectors:
Cr 0.5000 0.8485 0.9277  4 P 2.21-2.38
P 0.0000 0.8861 0.8529  2 Cr 2.21
P 0.5000 0.1673 0.2904  2 Cr 2.38
Zr 0.0000 0.5981 0.4290  7 P 2.58-2.85

Output
Formation energy from the elements (meV per atom): -591
Energy above the lowest structure with this stoichiometry (eV per formula unit): 0.72

***

[7]
ZrCrP2 | PBE | optimized geometry

a = 6.1970 Å, b = 6.1970 Å, c = 6.1970 Å
α = 150.44°, β = 148.17°, γ = 43.99°
Closest atoms and distances in Å follow each position.
Sites, in units of the cell vectors:
Cr 0.2069 0.7069 0.5000  6 P 2.32-2.47
P 0.0588 0.0588 0.0000  2 Cr 2.32
P 0.7795 0.2795 0.5000  4 Cr 2.47, 2 Zr 2.63
Zr 0.4547 0.4547 0.0000  6 P 2.61-2.63

Output
Formation energy from the elements (meV per atom): -749
Energy above the lowest structure with this stoichiometry (eV per formula unit): 0.09

***

[8]
ZrCrP | PBE | optimized geometry

a = 13.3428 Å, b = 5.1591 Å, c = 5.2343 Å
α = 90.00°, β = 90.00°, γ = 90.00°
Closest atoms and distances in Å follow each position.
Sites, in units of the cell vectors:
Zr 0.8300 0.0000 0.4549  5 P 2.66-2.80, 4 Cr 2.88-2.96
Zr 0.1700 0.0000 0.4549  5 P 2.66-2.80, 4 Cr 2.88-2.96
Zr 0.8300 0.5000 0.9549  5 P 2.66-2.80, 4 Cr 2.88-2.96
Zr 0.1700 0.5000 0.9549  5 P 2.66-2.80, 4 Cr 2.88-2.96
Zr 0.3300 0.0000 0.9549  5 P 2.66-2.80, 4 Cr 2.88-2.96
Zr 0.6700 0.0000 0.9549  5 P 2.66-2.80, 4 Cr 2.88-2.96
Zr 0.3300 0.5000 0.4549  5 P 2.66-2.80, 4 Cr 2.88-2.96
Zr 0.6700 0.5000 0.4549  5 P 2.66-2.80, 4 Cr 2.88-2.96
Cr 0.0000 0.2645 0.7087  4 P 2.43-2.46, 3 Cr 2.43-2.62
Cr 0.0000 0.7355 0.7087  4 P 2.43-2.46, 3 Cr 2.43-2.62
Cr 0.0000 0.7645 0.2087  4 P 2.43-2.46, 3 Cr 2.43-2.62
Cr 0.0000 0.2355 0.2087  4 P 2.43-2.46, 3 Cr 2.43-2.62
Cr 0.5000 0.2645 0.2087  4 P 2.43-2.46, 3 Cr 2.43-2.62
Cr 0.5000 0.7355 0.2087  4 P 2.43-2.46, 3 Cr 2.43-2.62
Cr 0.5000 0.7645 0.7087  4 P 2.43-2.46, 3 Cr 2.43-2.62
Cr 0.5000 0.2355 0.7087  4 P 2.43-2.46, 3 Cr 2.43-2.62
P 0.3798 0.0000 0.4500  4 Cr 2.43-2.46, 3 Zr 2.66-2.68
P 0.6202 0.0000 0.4500  4 Cr 2.43-2.46, 3 Zr 2.66-2.68
P 0.3798 0.5000 0.9500  4 Cr 2.43-2.46, 3 Zr 2.66-2.68
P 0.6202 0.5000 0.9500  4 Cr 2.43-2.46, 3 Zr 2.66-2.68
P 0.8798 0.0000 0.9500  4 Cr 2.43-2.46, 3 Zr 2.66-2.68
P 0.1202 0.0000 0.9500  4 Cr 2.43-2.46, 3 Zr 2.66-2.68
P 0.8798 0.5000 0.4500  4 Cr 2.43-2.46, 3 Zr 2.66-2.68
P 0.1202 0.5000 0.4500  4 Cr 2.43-2.46, 3 Zr 2.66-2.68

Output
Formation energy from the elements (meV per atom): -887

***

[9]
ZrCrP2 | PBE | optimized geometry

a = 5.5776 Å, b = 5.5776 Å, c = 6.8783 Å
α = 66.08°, β = 66.08°, γ = 90.00°
Closest atoms and distances in Å follow each position.
Sites, in units of the cell vectors:
Cr 0.5000 0.5000 0.0000  4 P 2.31
Cr 0.2500 0.7500 0.5000  4 P 2.31
Zr 0.0000 0.0000 0.0000  4 P 2.55
Zr 0.7500 0.2500 0.5000  4 P 2.55
P 0.5882 0.1250 0.2500  2 Cr 2.31, 2 Zr 2.55
P 0.1618 0.6250 0.2500  2 Cr 2.31, 2 Zr 2.55
P 0.3750 0.4118 0.7500  2 Cr 2.31, 2 Zr 2.55
P 0.8750 0.8382 0.7500  2 Cr 2.31, 2 Zr 2.55

Output
Formation energy from the elements (meV per atom): -272
Energy above the lowest structure with this stoichiometry (eV per formula unit): 1.99

***

[10]
ZrCrP | PBE | optimized geometry

a = 3.9578 Å, b = 3.9578 Å, c = 3.4535 Å
α = 90.00°, β = 90.00°, γ = 120.00°
Closest atoms and distances in Å follow each position.
Sites, in units of the cell vectors:
Cr 0.0000 0.0000 0.1661  3 P 2.29
P 0.6667 0.3333 0.1665  3 Cr 2.29
Zr 0.3333 0.6667 0.6674  6 Cr 2.86-2.87, 6 P 2.86-2.87

Output
Formation energy from the elements (meV per atom): -491

***

[11]
ZrCrP2 | PBE | optimized geometry

a = 2.9622 Å, b = 2.9622 Å, c = 6.4364 Å
α = 90.00°, β = 90.00°, γ = 90.00°
Closest atoms and distances in Å follow each position.
Sites, in units of the cell vectors:
Cr 0.5000 0.5000 0.7500  8 P 2.47
P 0.0000 0.0000 0.9543  4 Cr 2.47, 1 P 2.63
P 0.0000 0.0000 0.5457  4 Cr 2.47, 1 P 2.63
Zr 0.5000 0.5000 0.2500  8 P 2.83, 4 Zr 2.96

Output
Formation energy from the elements (meV per atom): -494
Energy above the lowest structure with this stoichiometry (eV per formula unit): 1.10

***

[12]
ZrCr2P | PBE | optimized geometry

a = 3.8655 Å, b = 3.8655 Å, c = 5.1649 Å
α = 68.00°, β = 68.00°, γ = 59.99°
Closest atoms and distances in Å follow each position.
Sites, in units of the cell vectors:
Cr 0.0442 0.0442 0.8676  3 Cr 2.29, 3 P 2.51
Cr 0.7470 0.7470 0.7592  3 Cr 2.29, 3 P 2.32
P 0.4597 0.4597 0.6210  6 Cr 2.32-2.51
Zr 0.2492 0.2492 0.2522  4 P 2.82-2.94, 4 Cr 2.86-2.87

Output
Formation energy from the elements (meV per atom): -391

***

[13]
ZrCrP2 | PBE | optimized geometry

a = 4.6281 Å, b = 4.6281 Å, c = 4.5153 Å
α = 89.00°, β = 89.00°, γ = 40.38°
Closest atoms and distances in Å follow each position.
Sites, in units of the cell vectors:
Cr 0.2541 0.2541 0.0766  5 P 2.33-2.53
P 0.9632 0.9632 0.1210  3 Cr 2.43-2.53, 1 P 2.50, 2 Zr 2.71
P 0.7789 0.7789 0.7034  2 Cr 2.33, 3 Zr 2.45-2.56, 1 P 2.50
Zr 0.5037 0.5037 0.5990  5 P 2.45-2.71

Output
Formation energy from the elements (meV per atom): -550
Energy above the lowest structure with this stoichiometry (eV per formula unit): 0.88

***

[14]
ZrCr2P | PBE | optimized geometry

a = 5.1040 Å, b = 5.1040 Å, c = 5.1040 Å
α = 138.50°, β = 138.50°, γ = 60.13°
Closest atoms and distances in Å follow each position.
Sites, in units of the cell vectors:
Cr 0.0000 0.0000 0.0000  4 Cr 2.56, 4 Zr 2.85, 4 P 2.85
Cr 0.5000 0.5000 0.0000  4 Cr 2.56, 4 P 2.85, 4 Zr 2.85
P 0.2500 0.7500 0.5000  4 Zr 2.56, 8 Cr 2.85
Zr 0.7500 0.2500 0.5000  4 P 2.56, 8 Cr 2.85

Output
Formation energy from the elements (meV per atom): -43